No. 1
Here is a crystal of Mg2Ga2Ag relaxed with PBEsol from the Alexandria database. Energies are from meta-GGA SCAN.

The value obtained for the formation energy is -187 meV per atom. For the total moment, the calculation gives 0.00 μB/atom. The density of states at the Fermi level comes out at 0.31 states/eV per atom. Its volume is 93 Å³/f.u. The total energy comes out at -14.988 eV per atom.

The space group is P4/mbm (No. 127) and the conventional cell measures 6.681, 6.681 and 4.173 Å, with angles of 90.00, 90.00 and 90.00 degrees. The distinct sites, in fractional coordinates, are Mg at (0.169, 0.331, 0.000), Ga at (0.134, 0.634, 0.500) and Ag at (0.000, 0.000, 0.500).

***

No. 2
Here is a crystal of LaZnRu2 relaxed with PBEsol from the Alexandria database. Energies are from meta-GGA SCAN.

The value obtained for the formation energy is 214 meV per atom. For the total moment, the calculation gives 0.00 μB/atom. The density of states at the Fermi level comes out at 0.96 states/eV per atom. Its volume is 68 Å³/f.u. The total energy comes out at -31.355 eV per atom.

The space group is P2/m (No. 10) and the conventional cell measures 2.903, 4.300 and 5.429 Å, with angles of 90.00, 93.00 and 90.00 degrees. The distinct sites, in fractional coordinates, are La at (0.000, 0.000, 0.000), Zn at (0.500, 0.000, 0.500) and Ru at (0.259, 0.500, 0.709).

***

What is the formula in the second record?
LaZnRu2

***

The lowest total energy belongs to which entry?
LaZnRu2

***

What is the total energy in the second record?
-31.355 eV per atom